# 1
# Ac3TlCd2Pd9 | the Alexandria database | PBE | relaxed
# E: -4.544 eV per atom
# N(E_F): 10.5 states/eV/cell
# ΔE_f: -7.53 kcal/mol of atoms
# Crystal system: trigonal
data_Ac3TlCd2Pd9
_chemical_formula_sum 'Ac3 Tl1 Cd2 Pd9'
_symmetry_space_group_name_H-M 'P -3 m 1'
_symmetry_Int_Tables_number 164
_symmetry_space_group_name_Hall '-P 3 2"'
_cell_length_a 6.8782
_cell_length_b 6.8782
_cell_length_c 9.7107
_cell_angle_alpha 90.00
_cell_angle_beta 90.00
_cell_angle_gamma 120.00
loop_
_atom_site_label
_atom_site_type_symbol
_atom_site_fract_x
_atom_site_fract_y
_atom_site_fract_z
Ac1 Ac 0.0000 0.0000 0.0000
Ac2 Ac 0.3333 0.6667 0.7486
Tl1 Tl 0.0000 0.0000 0.5000
Cd1 Cd 0.3333 0.6667 0.1847
Pd1 Pd 0.0000 0.5000 0.0000
Pd2 Pd 0.1306 0.2612 0.2676



# 2
# Ac2TlCdPd6 | the Alexandria database | PBE | relaxed
# E: -4.809 eV per atom
# N(E_F): 8.4 states/eV/cell
# ΔE_f: -12.54 kcal/mol of atoms
# Crystal system: monoclinic
data_Ac2TlCdPd6
_chemical_formula_sum 'Ac4 Tl2 Cd2 Pd12'
_symmetry_space_group_name_H-M 'C 1 2/m 1'
_symmetry_Int_Tables_number 12
_cell_length_a 12.7324
_cell_length_b 5.6566
_cell_length_c 8.8159
_cell_angle_alpha 90.00
_cell_angle_beta 133.81
_cell_angle_gamma 90.00
loop_
_symmetry_equiv_pos_as_xyz
'x,y,z'
'-x,-y,-z'
'-x,y,-z'
'x,-y,z'
'x+1/2,y+1/2,z'
'-x+1/2,-y+1/2,-z'
'-x+1/2,y+1/2,-z'
'x+1/2,-y+1/2,z'
loop_
_atom_site_label
_atom_site_type_symbol
_atom_site_fract_x
_atom_site_fract_y
_atom_site_fract_z
Ac1 Ac 0.0346 0.0000 0.2807
Tl1 Tl 0.0000 0.5000 0.5000
Cd1 Cd 0.0000 0.5000 0.0000
Pd1 Pd 0.1828 0.5000 0.9340
Pd2 Pd 0.2500 0.2477 0.7362